No. 1
Compound: SrTi2TcAg
Source: the Alexandria database
Functional: PBE
Structure: relaxed

a b c (Å): 4.9038 5.4300 4.9038
angles (deg): 90.00 90.00 90.00
With the nearest neighbours (Å) after each atom.
Fractional coordinates of all 5 atoms:
Ag 0.0000 0.0000 0.0000  4 Ti 2.45, 2 Sr 2.71
Sr 0.0000 0.5000 0.0000  2 Ag 2.71
Ti 0.0000 0.0000 0.5000  2 Ag 2.45
Ti 0.5000 0.0000 0.0000  2 Ag 2.45
Tc 0.5000 0.5000 0.5000  4 Sr 3.47, 8 Ti 3.66

N(E_F) ... 8.84 states/eV/cell
Calculated formation energy ... 1.568 eV per atom
Uncorrected energy ... -22.85 eV/cell
Space group ... No. 123
V ... 26.12 A^3/atom

No. 2
Compound: MnAlRe3
Source: the Alexandria database
Functional: PBE
Structure: relaxed

a b c (Å): 4.3778 4.3778 4.3778
angles (deg): 90.00 90.00 90.00
With the nearest neighbours (Å) after each atom.
Fractional coordinates of all 5 atoms:
Re 0.5000 0.0000 0.0000  2 Al 2.19
Re 0.0000 0.0000 0.5000  2 Al 2.19
Re 0.0000 0.5000 0.0000  2 Al 2.19
Mn 0.5000 0.5000 0.5000  12 Re 3.10
Al 0.0000 0.0000 0.0000  6 Re 2.19

N(E_F) ... 4.76 states/eV/cell
Calculated formation energy ... 2.023 eV per atom
Uncorrected energy ... -40.14 eV/cell
Space group ... No. 221
V ... 16.78 A^3/atom

No. 3
Compound: MnAlHgCl2
Source: the Alexandria database
Functional: PBE
Structure: relaxed

a b c (Å): 4.7475 5.8712 4.7475
angles (deg): 90.00 90.00 90.00
With the nearest neighbours (Å) after each atom.
Fractional coordinates of all 5 atoms:
Mn 0.0000 0.0000 0.0000  4 Cl 2.37
Al 0.5000 0.5000 0.5000  4 Hg 3.36
Cl 0.5000 0.0000 0.0000  2 Mn 2.37
Cl 0.0000 0.0000 0.5000  2 Mn 2.37
Hg 0.0000 0.5000 0.0000  2 Mn 2.94

N(E_F) ... 2.07 states/eV/cell
Formation energy without anion corrections ... -0.19 eV/atom
Uncorrected energy ... -17.84 eV/cell
Space group ... No. 123
V ... 26.47 A^3/atom

No. 4
Compound: Ag4SnHg
Source: the Alexandria database
Functional: PBE
Structure: relaxed

a b c (Å): 6.0520 6.0694 9.6549
angles (deg): 99.84 63.52 60.54
With the nearest neighbours (Å) after each atom.
Fractional coordinates of all 12 atoms:
Ag 0.4653 0.8128 0.1709  3 Hg 2.95-3.08, 8 Ag 2.96-3.14, 1 Sn 2.98
Ag 0.0275 0.6970 0.8281  3 Hg 2.93-3.07, 1 Sn 2.97, 8 Ag 2.98-3.14
Ag 0.5238 0.7064 0.8369  3 Hg 2.92-3.07, 7 Ag 2.96-3.11, 2 Sn 3.03-3.12
Ag 0.5347 0.1872 0.8291  3 Hg 2.95-3.08, 8 Ag 2.96-3.14, 1 Sn 2.98
Ag 0.7414 0.2559 0.5073  7 Ag 2.98-3.12, 4 Sn 3.02-3.04, 1 Hg 3.19
Ag 0.2586 0.7441 0.4927  7 Ag 2.98-3.12, 4 Sn 3.02-3.04, 1 Hg 3.19
Ag 0.4762 0.2936 0.1631  3 Hg 2.92-3.07, 7 Ag 2.96-3.11, 2 Sn 3.03-3.12
Ag 0.9725 0.3030 0.1719  3 Hg 2.93-3.07, 1 Sn 2.97, 8 Ag 2.98-3.14
Hg 0.0087 0.7820 0.1420  10 Ag 2.92-3.19, 1 Sn 3.19
Hg 0.9913 0.2180 0.8580  10 Ag 2.92-3.19, 1 Sn 3.19
Sn 0.7508 0.7480 0.4996  8 Ag 2.97-3.12, 2 Sn 3.04-3.07, 2 Hg 3.19-3.28
Sn 0.2492 0.2520 0.5004  8 Ag 2.97-3.12, 2 Sn 3.04-3.07, 2 Hg 3.19-3.28

N(E_F) ... 3.17 states/eV/cell
Calculated formation energy ... 0.054 eV per atom
Uncorrected energy ... -30.77 eV/cell
Space group ... No. 2
V ... 19.94 A^3/atom

No. 5
Compound: SbTe3S
Source: the Alexandria database
Functional: PBE
Structure: relaxed

a b c (Å): 5.2711 5.2711 5.2711
angles (deg): 90.00 90.00 90.00
With the nearest neighbours (Å) after each atom.
Fractional coordinates of all 5 atoms:
Te 0.0000 0.0000 0.5000  2 S 2.64
Te 0.5000 0.0000 0.0000  2 S 2.64
Te 0.0000 0.5000 0.0000  2 S 2.64
Sb 0.5000 0.5000 0.5000  12 Te 3.73
S 0.0000 0.0000 0.0000  6 Te 2.64

N(E_F) ... 4.81 states/eV/cell
Formation energy without anion corrections ... 0.50 eV/atom
Uncorrected energy ... -15.19 eV/cell
Space group ... No. 221
V ... 29.29 A^3/atom

No. 6
Compound: LuZr2Ta
Source: the Alexandria database
Functional: PBE
Structure: relaxed

a b c (Å): 3.1834 3.1834 10.6658
angles (deg): 81.42 81.42 60.00
With the nearest neighbours (Å) after each atom.
Fractional coordinates of all 4 atoms:
Ta 0.0000 0.0000 0.0000  6 Zr 3.05, 6 Ta 3.18
Zr 0.2562 0.2562 0.2314  3 Ta 3.05, 6 Zr 3.18, 3 Lu 3.37
Zr 0.7438 0.7438 0.7686  3 Ta 3.05, 6 Zr 3.18, 3 Lu 3.37
Lu 0.5000 0.5000 0.5000  6 Lu 3.18, 6 Zr 3.37

N(E_F) ... 6.98 states/eV/cell
Calculated formation energy ... 0.224 eV per atom
Uncorrected energy ... -32.58 eV/cell
Space group ... No. 166
V ... 23.05 A^3/atom

No. 7
Compound: ErBRu
Source: the Alexandria database
Functional: PBE
Structure: relaxed

a b c (Å): 3.0181 3.0181 5.2828
angles (deg): 106.60 106.60 90.00
With the nearest neighbours (Å) after each atom.
Fractional coordinates of all 3 atoms:
B 0.7091 0.7091 0.4183  4 Ru 2.26
Er 0.0063 0.0063 0.0125  1 Ru 2.69, 5 B 2.87-2.90
Ru 0.2846 0.2846 0.5692  4 B 2.26

N(E_F) ... 1.34 states/eV/cell
Calculated formation energy ... -0.246 eV per atom
Uncorrected energy ... -21.25 eV/cell
Space group ... No. 107
V ... 14.67 A^3/atom

No. 8
Compound: PPtBr2
Source: the Alexandria database
Functional: PBE
Structure: relaxed

a b c (Å): 4.8016 4.8016 4.8016
angles (deg): 60.00 60.00 60.00
With the nearest neighbours (Å) after each atom.
Fractional coordinates of all 4 atoms:
P 0.0000 0.0000 0.0000  8 Br 2.94
Br 0.2500 0.2500 0.2500  4 Pt 2.94, 4 P 2.94
Br 0.7500 0.7500 0.7500  4 Pt 2.94, 4 P 2.94
Pt 0.5000 0.5000 0.5000  8 Br 2.94

N(E_F) ... 2.54 states/eV/cell
Formation energy without anion corrections ... 0.95 eV/atom
Uncorrected energy ... -10.99 eV/cell
Space group ... No. 225
V ... 19.57 A^3/atom

No. 9
Compound: Sr3Te
Source: the Alexandria database
Functional: PBE
Structure: relaxed

a b c (Å): 6.2195 6.2195 6.2195
angles (deg): 60.00 60.00 60.00
With the nearest neighbours (Å) after each atom.
Fractional coordinates of all 4 atoms:
Sr 0.0000 0.0000 0.0000  4 Sr 3.81, 4 Te 3.81
Sr 0.5000 0.5000 0.5000  4 Te 3.81, 4 Sr 3.81
Sr 0.2500 0.2500 0.2500  8 Sr 3.81
Te 0.7500 0.7500 0.7500  8 Sr 3.81

N(E_F) ... 5.18 states/eV/cell
Formation energy without anion corrections ... -0.31 eV/atom
Uncorrected energy ... -9.42 eV/cell
Space group ... No. 225
V ... 42.53 A^3/atom

No. 10
Compound: Na10B19C
Source: the Alexandria database
Functional: PBE
Structure: relaxed

a b c (Å): 13.2296 13.2296 8.6502
angles (deg): 90.00 90.00 167.00
With the nearest neighbours (Å) after each atom.
Fractional coordinates of all 30 atoms:
B 0.6659 0.3341 0.2500  3 B 1.71-1.80
B 0.7341 0.2659 0.2500  3 B 1.71-1.80
B 0.5312 0.4688 0.7500  3 B 1.72-1.79
B 0.2687 0.7313 0.7500  3 B 1.74-1.78
B 0.3342 0.6658 0.2500  3 B 1.71-1.80
B 0.5343 0.4658 0.2500  3 B 1.71-1.79
B 0.1360 0.8640 0.7500  3 B 1.68-1.78
B 0.8659 0.1341 0.2500  3 B 1.71-1.80
B 0.4658 0.5342 0.7500  3 B 1.72-1.82
B 0.1342 0.8658 0.2500  3 B 1.71-1.79
B 0.9342 0.0658 0.2500  3 B 1.71-1.80
B 0.4660 0.5340 0.2500  3 B 1.71-1.79
B 0.3365 0.6635 0.7500  2 C 1.69, 1 B 1.78
B 0.0682 0.9318 0.7500  3 B 1.78-1.79
B 0.2657 0.7343 0.2500  3 B 1.71-1.80
B 0.0660 0.9340 0.2500  3 B 1.71-1.79
B 0.7349 0.2651 0.7500  3 B 1.74-1.83
B 0.9262 0.0738 0.7500  1 C 1.57
B 0.6652 0.3348 0.7500  3 B 1.68-1.83
Na 0.8002 0.1998 0.4994  11 B 2.76-2.80, 1 C 2.78, 6 Na 2.99-3.02
Na 0.2003 0.7997 0.5007  12 B 2.74-2.81, 6 Na 2.99-3.03
Na 0.2003 0.7997 0.9993  12 B 2.74-2.81, 6 Na 2.99-3.03
Na 0.3998 0.6002 0.4972  10 B 2.74-2.79, 2 C 2.79, 6 Na 2.99-3.03
Na 0.8002 0.1998 0.0006  11 B 2.76-2.80, 1 C 2.78, 6 Na 2.99-3.02
Na 0.3998 0.6002 0.0028  10 B 2.74-2.79, 2 C 2.79, 6 Na 2.99-3.03
Na 0.9998 0.0002 0.9991  12 B 2.75-2.90, 6 Na 2.99-3.03
Na 0.6001 0.3999 0.9994  12 B 2.75-2.82, 6 Na 2.99-3.03
Na 0.6001 0.3999 0.5006  12 B 2.75-2.82, 6 Na 2.99-3.03
Na 0.9998 0.0002 0.5009  12 B 2.75-2.90, 6 Na 2.99-3.03
C 0.8665 0.1335 0.7500  3 B 1.57-1.69

N(E_F) ... 9.20 states/eV/cell
Calculated formation energy ... 0.280 eV per atom
Uncorrected energy ... -140.88 eV/cell
Space group ... No. 38
V ... 11.35 A^3/atom

Q: Which value of V does entry 10 give?
A: 11.35 A^3/atom